Compound: CrGePdO
Source: Alexandria
Functional: PBE+U
Structure: optimized geometry

Cell: 3.102 3.102 7.191 Å, 90.00 90.00 120.00°
Last column: magnetic moment on the atom in μB.
Fractional positions:
Pd1 0.000 0.000 0.454  0.02
Cr1 0.333 0.667 0.894  3.34
O1 0.000 0.000 0.777  -0.12
Ge1 0.667 0.333 0.210  -0.04

Computed properties:
**Electronic total energy**: -6.181 eV/atom
**Space group**: P3m1 (156)
**Relative energy among the computed polymorphs**: 129 meV/atom